Density functional theory data (PBE) for a relaxed structure of CsRb2Ba.

Unit cell a=8.1645 b=8.1645 c=5.1327 alpha=90.00 beta=90.00 gamma=90.00
Closest atoms and distances in Å follow each position.
Space group P4/mmm (No. 123)
Asymmetric unit:
1 Cs 0.0000 0.0000 0.0000 (multiplicity 1)  8 Rb 4.82, 2 Cs 5.13
2 Rb 0.0000 0.5000 0.5000 (multiplicity 2)  4 Ba 4.82, 4 Cs 4.82, 2 Rb 5.13
3 Ba 0.5000 0.5000 0.0000 (multiplicity 1)  8 Rb 4.82, 2 Ba 5.13

Properties
The total energy is -1.059 eV per atom. The total magnetic moment comes out at 0.00 μB/f.u.



Density functional theory data (PBE) for a relaxed structure of Cs2Rb2Ba.

Unit cell a=6.2018 b=6.2018 c=25.3299 alpha=90.00 beta=90.00 gamma=90.00
Closest atoms and distances in Å follow each position.
Space group I4/mmm (No. 139)
Asymmetric unit:
1 Cs 0.0000 0.0000 0.0950 (multiplicity 4)  1 Cs 4.81, 4 Rb 5.00, 4 Ba 5.00
2 Rb 0.0000 0.5000 0.2500 (multiplicity 4)  4 Rb 4.39
3 Ba 0.0000 0.0000 0.5000 (multiplicity 2)  8 Cs 5.00

Properties
The total energy is -0.911 eV per atom. The total magnetic moment comes out at 0.60 μB/f.u.



Density functional theory data (PBE) for a relaxed structure of Cs3RbBa.

Unit cell a=8.2909 b=8.2909 c=8.2909 alpha=90.00 beta=90.00 gamma=90.00
Closest atoms and distances in Å follow each position.
Space group Pm-3m (No. 221)
Asymmetric unit:
1 Cs 0.0000 0.0000 0.5000 (multiplicity 3)  2 Rb 4.15
2 Rb 0.0000 0.0000 0.0000 (multiplicity 1)  6 Cs 4.15
3 Ba 0.5000 0.5000 0.5000 (multiplicity 1)  12 Cs 5.86

Properties
The total energy is -0.765 eV per atom. The total magnetic moment comes out at 0.00 μB/f.u.



Density functional theory data (PBE) for a relaxed structure of Cs2Rb2Ba.

Unit cell a=13.3211 b=13.3211 c=5.1005 alpha=90.00 beta=90.00 gamma=90.00
Closest atoms and distances in Å follow each position.
Space group P4/mbm (No. 127)
Asymmetric unit:
1 Cs 0.1343 0.3657 0.0000 (multiplicity 4)  6 Rb 4.49-4.81
2 Rb 0.1697 0.6697 0.5000 (multiplicity 4)  6 Cs 4.49-4.81
3 Ba 0.0000 0.0000 0.0000 (multiplicity 2)  2 Ba 5.10, 4 Cs 5.19, 8 Rb 5.57

Properties
The total energy is -0.960 eV per atom. The total magnetic moment comes out at 0.00 μB/f.u.



Density functional theory data (PBE) for a relaxed structure of CsRb2Ba.

Unit cell a=8.3980 b=4.8439 c=17.0141 alpha=90.00 beta=99.35 gamma=90.00
Closest atoms and distances in Å follow each position.
Space group Cm (No. 8)
Asymmetric unit:
1 Cs 0.0000 0.0000 0.0000 (multiplicity 2)  6 Cs 4.84-4.85, 6 Rb 5.26-5.27
2 Rb 0.0781 0.5000 0.7347 (multiplicity 2)  3 Ba 4.83, 6 Rb 4.84-4.85, 3 Cs 5.26-5.27
3 Rb 0.4219 0.0000 0.2657 (multiplicity 2)  3 Ba 4.83, 6 Rb 4.84-4.85, 3 Cs 5.26-5.27
4 Ba 0.1668 0.0000 0.5003 (multiplicity 2)  6 Rb 4.83, 6 Ba 4.84-4.85

Properties
The total energy is -1.097 eV per atom. The total magnetic moment comes out at 0.00 μB/f.u.



Density functional theory data (PBE) for a relaxed structure of CsRb2Ba.

Unit cell a=11.1499 b=11.1499 c=11.1499 alpha=90.00 beta=90.00 gamma=90.00
Closest atoms and distances in Å follow each position.
Space group Fm-3m (No. 225)
Asymmetric unit:
1 Cs 0.0000 0.0000 0.0000 (multiplicity 4)  8 Rb 4.83
2 Rb 0.2500 0.2500 0.2500 (multiplicity 8)  4 Ba 4.83, 4 Cs 4.83
3 Ba 0.0000 0.0000 0.5000 (multiplicity 4)  8 Rb 4.83

Properties
The total energy is -1.036 eV per atom. The total magnetic moment comes out at 0.00 μB/f.u.



Density functional theory data (PBE) for a relaxed structure of Cs4RbBa.

Unit cell a=13.3278 b=13.3278 c=13.3278 alpha=90.00 beta=90.00 gamma=90.00
Closest atoms and distances in Å follow each position.
Space group F-43m (No. 216)
Asymmetric unit:
1 Cs 0.1251 0.1251 0.1251 (multiplicity 16)  6 Cs 4.71-4.72
2 Rb 0.2500 0.2500 0.7500 (multiplicity 4)  12 Cs 5.53, 4 Ba 5.77
3 Ba 0.0000 0.0000 0.5000 (multiplicity 4)  12 Cs 5.53, 4 Rb 5.77

Properties
The total energy is -0.902 eV per atom. The total magnetic moment comes out at 0.00 μB/f.u.



Density functional theory data (PBE) for a relaxed structure of CsRb2Ba.

Unit cell a=4.7567 b=4.7567 c=53.6414 alpha=90.00 beta=90.00 gamma=120.00
Closest atoms and distances in Å follow each position.
Space group R-3m (No. 166, hexagonal axes)
Asymmetric unit:
1 Cs 0.0000 0.0000 0.0000 (multiplicity 3)  6 Cs 4.76, 6 Rb 5.27
2 Rb 0.0000 0.0000 0.4172 (multiplicity 6)  1 Ba 4.44, 6 Rb 4.76
3 Ba 0.0000 0.0000 0.5000 (multiplicity 3)  2 Rb 4.44, 6 Ba 4.76

Properties
The total energy is -1.036 eV per atom. The total magnetic moment comes out at 0.16 μB/f.u.



Density functional theory data (PBE) for a relaxed structure of Cs2Rb2Ba.

Unit cell a=13.1572 b=13.1572 c=5.2629 alpha=90.00 beta=90.00 gamma=90.00
Closest atoms and distances in Å follow each position.
Space group P4/mbm (No. 127)
Asymmetric unit:
1 Cs 0.1776 0.3224 0.0000 (multiplicity 4)  6 Rb 4.51-4.83
2 Rb 0.1258 0.6258 0.5000 (multiplicity 4)  6 Cs 4.51-4.83, 1 Rb 4.68
3 Ba 0.0000 0.0000 0.5000 (multiplicity 2)  4 Rb 5.19, 2 Ba 5.26, 8 Cs 5.51

Properties
The total energy is -0.973 eV per atom. The total magnetic moment comes out at 0.00 μB/f.u.



Density functional theory data (PBE) for a relaxed structure of Cs2Rb2Ba.

Unit cell a=6.5941 b=6.5941 c=22.2398 alpha=90.00 beta=90.00 gamma=90.00
Closest atoms and distances in Å follow each position.
Space group I4/mmm (No. 139)
Asymmetric unit:
1 Cs 0.0000 0.5000 0.2500 (multiplicity 4)  4 Cs 4.66, 4 Rb 4.83
2 Rb 0.0000 0.0000 0.0915 (multiplicity 4)  1 Rb 4.07
3 Ba 0.0000 0.0000 0.5000 (multiplicity 2)  8 Rb 5.09

Properties
The total energy is -0.899 eV per atom. The total magnetic moment comes out at 0.00 μB/f.u.



Density functional theory data (PBE) for a relaxed structure of CsRb3Ba.

Unit cell a=8.0011 b=8.0011 c=8.0011 alpha=90.00 beta=90.00 gamma=90.00
Closest atoms and distances in Å follow each position.
Space group Pm-3m (No. 221)
Asymmetric unit:
1 Cs 0.0000 0.0000 0.0000 (multiplicity 1)  6 Rb 4.00
2 Rb 0.0000 0.0000 0.5000 (multiplicity 3)  2 Cs 4.00
3 Ba 0.5000 0.5000 0.5000 (multiplicity 1)  12 Rb 5.66

Properties
The total energy is -0.752 eV per atom. The total magnetic moment comes out at 0.00 μB/f.u.



Density functional theory data (PBE) for a relaxed structure of Cs6Rb12Ba.

Unit cell a=14.8448 b=14.8448 c=29.0569 alpha=90.00 beta=90.00 gamma=120.00
Closest atoms and distances in Å follow each position.
Space group R-3 (No. 148, hexagonal axes)
Asymmetric unit:
1 Cs 0.0662 0.5327 0.3838 (multiplicity 18)  8 Rb 5.02-5.46, 1 Ba 5.34
2 Rb 0.1059 0.2128 0.4178 (multiplicity 18)  3 Rb 4.52-4.74, 2 Cs 5.02-5.03
3 Rb 0.1095 0.5556 0.7977 (multiplicity 18)  3 Rb 4.52-4.98, 1 Ba 4.77, 2 Cs 5.03-5.05
4 Ba 0.0000 0.0000 0.0000 (multiplicity 3)  6 Rb 4.77, 6 Cs 5.34

Properties
The total energy is -0.936 eV per atom. The total magnetic moment comes out at 0.00 μB/f.u.



Density functional theory data (PBE) for a relaxed structure of CsRb2Ba.

Unit cell a=5.2524 b=7.8390 c=16.5888 alpha=90.00 beta=90.00 gamma=90.00
Closest atoms and distances in Å follow each position.
Space group Cmmm (No. 65)
Asymmetric unit:
1 Cs 0.0000 0.0000 0.0000 (multiplicity 2)  6 Cs 4.72-5.25, 4 Rb 5.13
2 Rb 0.0000 0.5000 0.2659 (multiplicity 4)  2 Ba 4.69, 4 Rb 4.72, 2 Cs 5.13
3 Ba 0.0000 0.0000 0.5000 (multiplicity 2)  4 Rb 4.69, 4 Ba 4.72

Properties
The total energy is -1.094 eV per atom. The total magnetic moment comes out at 0.00 μB/f.u.



Density functional theory data (PBE) for a relaxed structure of Cs2RbBa.

Unit cell a=8.3870 b=8.3870 c=5.1955 alpha=90.00 beta=90.00 gamma=90.00
Closest atoms and distances in Å follow each position.
Space group P4/mmm (No. 123)
Asymmetric unit:
1 Cs 0.0000 0.5000 0.0000 (multiplicity 2)  4 Ba 4.93, 4 Rb 4.93, 2 Cs 5.20
2 Rb 0.0000 0.0000 0.5000 (multiplicity 1)  8 Cs 4.93, 2 Rb 5.20
3 Ba 0.5000 0.5000 0.5000 (multiplicity 1)  8 Cs 4.93, 2 Ba 5.20

Properties
The total energy is -1.013 eV per atom. The total magnetic moment comes out at 0.00 μB/f.u.



Density functional theory data (PBE) for a relaxed structure of Cs2RbBa.

Unit cell a=11.4025 b=11.4025 c=11.4025 alpha=90.00 beta=90.00 gamma=90.00
Closest atoms and distances in Å follow each position.
Space group Fm-3m (No. 225)
Asymmetric unit:
1 Cs 0.2500 0.2500 0.2500 (multiplicity 8)  4 Ba 4.94, 4 Rb 4.94
2 Rb 0.0000 0.0000 0.0000 (multiplicity 4)  8 Cs 4.94
3 Ba 0.0000 0.0000 0.5000 (multiplicity 4)  8 Cs 4.94

Properties
The total energy is -0.992 eV per atom. The total magnetic moment comes out at 0.00 μB/f.u.



Density functional theory data (PBE) for a relaxed structure of CsRb2Ba.

Unit cell a=12.2995 b=12.2995 c=9.5613 alpha=90.00 beta=90.00 gamma=90.00
Closest atoms and distances in Å follow each position.
Space group I-42d (No. 122)
Asymmetric unit:
1 Cs 0.0000 0.0000 0.0000 (multiplicity 4)  4 Rb 4.45, 2 Ba 4.78
2 Rb 0.2432 0.2500 0.1250 (multiplicity 8)  2 Cs 4.45, 2 Ba 4.57, 2 Rb 4.78
3 Ba 0.0000 0.0000 0.5000 (multiplicity 4)  4 Rb 4.57, 2 Cs 4.78

Properties
The total energy is -0.953 eV per atom. The total magnetic moment comes out at 0.00 μB/f.u.



Density functional theory data (PBE) for a relaxed structure of CsRbBa3.

Unit cell a=7.3198 b=7.3198 c=7.3198 alpha=90.00 beta=90.00 gamma=90.00
Closest atoms and distances in Å follow each position.
Space group Pm-3m (No. 221)
Asymmetric unit:
1 Cs 0.0000 0.0000 0.0000 (multiplicity 1)  6 Ba 3.66
2 Rb 0.5000 0.5000 0.5000 (multiplicity 1)  12 Ba 5.18
3 Ba 0.0000 0.0000 0.5000 (multiplicity 3)  2 Cs 3.66

Properties
The total energy is -0.979 eV per atom. The total magnetic moment comes out at 3.92 μB/f.u.



Density functional theory data (PBE) for a relaxed structure of CsRb3Ba.

Unit cell a=8.4908 b=8.4908 c=8.4908 alpha=90.00 beta=90.00 gamma=90.00
Closest atoms and distances in Å follow each position.
Space group Pm-3m (No. 221)
Asymmetric unit:
1 Cs 0.0000 0.0000 0.0000 (multiplicity 1)  none within 6
2 Rb 0.0000 0.5000 0.5000 (multiplicity 3)  2 Ba 4.25
3 Ba 0.5000 0.5000 0.5000 (multiplicity 1)  6 Rb 4.25

Properties
The total energy is -0.785 eV per atom. The total magnetic moment comes out at 0.00 μB/f.u.



Density functional theory data (PBE) for a relaxed structure of CsRbBa2Rh.

Unit cell a=6.1387 b=6.1387 c=7.4164 alpha=90.00 beta=90.00 gamma=90.00
Closest atoms and distances in Å follow each position.
Space group P4/mmm (No. 123)
Asymmetric unit:
1 Cs 0.0000 0.0000 0.0000 (multiplicity 1)  4 Rb 4.34, 8 Ba 4.81
2 Rb 0.5000 0.5000 0.0000 (multiplicity 1)  2 Rh 3.71
3 Ba 0.0000 0.5000 0.5000 (multiplicity 2)  2 Rh 3.07
4 Rh 0.5000 0.5000 0.5000 (multiplicity 1)  4 Ba 3.07

Properties
The total energy is -2.501 eV per atom. The total magnetic moment comes out at 0.00 μB/f.u.



Density functional theory data (PBE) for a relaxed structure of Cs2RbBaRh.

Unit cell a=6.3841 b=6.3841 c=7.1426 alpha=90.00 beta=90.00 gamma=90.00
Closest atoms and distances in Å follow each position.
Space group P4/mmm (No. 123)
Asymmetric unit:
1 Cs 0.0000 0.5000 0.0000 (multiplicity 2)  2 Rh 3.19
2 Rb 0.0000 0.0000 0.5000 (multiplicity 1)  2 Rh 3.57
3 Ba 0.5000 0.5000 0.5000 (multiplicity 1)  4 Rb 4.51, 8 Cs 4.79
4 Rh 0.0000 0.0000 0.0000 (multiplicity 1)  4 Cs 3.19, 2 Rb 3.57

Properties
The total energy is -1.801 eV per atom. The total magnetic moment comes out at 0.00 μB/f.u.